A relaxed structure of CaHo12Tm6. Source: Alexandria, functional GGA-PBE.

```
CaHo12Tm6
1.0
-3.3692 4.6414 7.2555
-5.3134 1.9944 -7.3025
-0.9600 -9.0268 1.7695
Ca Ho Tm
1 12 6
Direct
0.0000 0.0000 0.0000 Ca
0.8879 0.1121 0.5000 Ho
0.3591 0.1358 0.3591 Ho
0.3591 0.3591 0.1358 Ho
0.8642 0.6409 0.6409 Ho
0.6409 0.6409 0.8642 Ho
0.6409 0.8642 0.6409 Ho
0.5000 0.8879 0.1121 Ho
0.1121 0.5000 0.8879 Ho
0.1121 0.8879 0.5000 Ho
0.5000 0.1121 0.8879 Ho
0.8879 0.5000 0.1121 Ho
0.1358 0.3591 0.3591 Ho
0.6882 0.2760 0.6882 Tm
0.6882 0.6882 0.2760 Tm
0.2760 0.6882 0.6882 Tm
0.3118 0.3118 0.7240 Tm
0.3118 0.7240 0.3118 Tm
0.7240 0.3118 0.3118 Tm
```

* energy relative to the elements: 0.4308 eV/atom
* theoretical density: 7.8 g/cm3
* space-group type: R-3m, No. 166

=====

A relaxed structure of Sr2CuAuO5. Source: Alexandria, functional GGA-PBE.

```
Sr2CuAuO5
1.0
-2.8857 1.6590 -0.4683
-0.9455 -3.3184 6.1347
4.1774 8.7899 5.3986
Sr Cu Au O
4 2 2 10
Direct
0.8533 0.7065 0.7988 Sr
0.0906 0.1812 0.6573 Sr
0.1467 0.2935 0.2988 Sr
0.9094 0.8188 0.1573 Sr
0.7808 0.5616 0.5333 Cu
0.2192 0.4384 0.0333 Cu
0.5384 0.0767 0.9445 Au
0.4616 0.9233 0.4445 Au
0.3877 0.7753 0.9829 O
0.6885 0.3770 0.9141 O
0.4935 0.9870 0.7696 O
0.2652 0.5305 0.6489 O
0.9214 0.8429 0.5746 O
0.6123 0.2247 0.4829 O
0.3115 0.6230 0.4141 O
0.5065 0.0130 0.2696 O
0.7348 0.4695 0.1489 O
0.0786 0.1571 0.0746 O
```

* theoretical density: 6.7 g/cm3
* space-group type: Cmc2_1, No. 36
* formation energy from raw total energies: -1.25 eV per atom

=====

A relaxed structure of ZrPbIO2. Source: Alexandria, functional GGA-PBE.

```
ZrPbIO2
1.0
-2.7266 -1.0874 -3.1469
1.1726 -4.1205 0.4079
-4.6069 -0.8856 4.2976
Pb I O Zr
1 1 2 1
Direct
0.0000 0.0000 0.0000 Pb
0.0000 0.0000 0.5000 I
0.0000 0.5000 0.0000 O
0.5000 0.0000 0.0000 O
0.5000 0.5000 0.5000 Zr
```

* theoretical density: 6.4 g/cm3
* space-group type: P4/mmm, No. 123
* distance to the lowest polymorph of the same formula: 1343 meV/atom
* formation energy from raw total energies: 0.09 eV per atom

=====

A relaxed structure of ZnO2. Source: Alexandria, functional GGA-PBE.

```
ZnO2
1.0
3.2508 0.0000 0.0000
0.0000 5.2485 0.0000
0.0000 0.0000 7.6133
Zn O
4 8
Direct
0.7500 0.8359 0.1540 Zn
0.2500 0.3359 0.3460 Zn
0.2500 0.1641 0.8460 Zn
0.7500 0.6641 0.6540 Zn
0.2500 0.5968 0.1297 O
0.7500 0.0968 0.3703 O
0.7500 0.4032 0.8703 O
0.2500 0.9032 0.6297 O
0.7500 0.9140 0.8787 O
0.2500 0.4140 0.6213 O
0.2500 0.0860 0.1213 O
0.7500 0.5860 0.3787 O
```

* theoretical density: 5.0 g/cm3
* space-group type: Pnma, No. 62
* formation energy from raw total energies: -0.26 eV per atom

=====

A relaxed structure of Si2SbAu2. Source: Alexandria, functional GGA-PBE.

```
Si2SbAu2
1.0
7.9443 0.0000 0.0000
0.0000 7.9443 0.0000
0.0000 0.0000 3.0554
Sb Si Au
2 4 4
Direct
0.0000 0.0000 0.0000 Sb
0.5000 0.5000 0.0000 Sb
0.1265 0.6265 0.5000 Si
0.6265 0.8735 0.5000 Si
0.8735 0.3735 0.5000 Si
0.3735 0.1265 0.5000 Si
0.3339 0.8339 0.0000 Au
0.8339 0.6661 0.0000 Au
0.6661 0.1661 0.0000 Au
0.1661 0.3339 0.0000 Au
```

* theoretical density: 9.8 g/cm3
* space-group type: P4/mbm, No. 127
* distance to the lowest polymorph of the same formula: 77 meV/atom
* formation energy from raw total energies: 0.27 eV per atom

=====

A relaxed structure of Cd2Rh4I. Source: Alexandria, functional GGA-PBE.

```
Cd2Rh4I
1.0
4.8054 0.0000 0.0000
0.0000 4.8054 0.0000
2.4027 2.4027 6.7832
I Rh Cd
1 4 2
Direct
0.0000 0.0000 0.0000 I
0.8207 0.8207 0.3587 Rh
0.1793 0.1793 0.6413 Rh
0.0000 0.5000 0.0000 Rh
0.5000 0.0000 0.0000 Rh
0.6226 0.6226 0.7547 Cd
0.3774 0.3774 0.2453 Cd
```

* theoretical density: 8.1 g/cm3
* space-group type: I4/mmm, No. 139
* formation energy from raw total energies: 0.84 eV per atom

=====

A relaxed structure of Tb4Ho6Er19. Source: Alexandria, functional GGA-PBE.

```
Tb4Ho6Er19
1.0
-3.2764 -3.4001 -9.5642
-4.8683 -5.6353 7.6361
-2.4119 10.3295 1.1192
Tb Ho Er
4 6 19
Direct
0.0000 0.0000 0.6423 Tb
0.0000 0.6423 0.0000 Tb
0.3577 0.3577 0.3577 Tb
0.6423 0.0000 0.0000 Tb
0.3723 0.5000 0.8723 Ho
0.6277 0.5000 0.1277 Ho
0.1277 0.6277 0.5000 Ho
0.8723 0.3723 0.5000 Ho
0.5000 0.8723 0.3723 Ho
0.5000 0.1277 0.6277 Ho
0.7385 0.0000 0.7385 Er
0.2615 0.0000 0.2615 Er
0.2615 0.2615 0.0000 Er
0.7385 0.7385 0.0000 Er
0.0000 0.7385 0.7385 Er
0.0000 0.2615 0.2615 Er
0.0000 0.0000 0.0000 Er
0.1991 0.2136 0.5390 Er
0.8009 0.3399 0.0145 Er
0.6746 0.6601 0.4610 Er
0.0145 0.8009 0.3399 Er
0.3254 0.7864 0.9855 Er
0.5390 0.1991 0.2136 Er
0.9855 0.3254 0.7864 Er
0.4610 0.6746 0.6601 Er
0.7864 0.9855 0.3254 Er
0.3399 0.0145 0.8009 Er
0.2136 0.5390 0.1991 Er
0.6601 0.4610 0.6746 Er
```

* energy relative to the elements: 0.3944 eV/atom
* theoretical density: 8.5 g/cm3
* space-group type: I23, No. 197

=====

A relaxed structure of CoSbPtI2. Source: Alexandria, functional GGA-PBE.

```
CoSbPtI2
1.0
5.1726 0.0000 0.0000
0.0000 5.1726 0.0000
0.0000 0.0000 4.7862
I Sb Co Pt
2 1 1 1
Direct
0.0000 0.5000 0.0000 I
0.5000 0.0000 0.0000 I
0.0000 0.0000 0.5000 Sb
0.0000 0.0000 0.0000 Co
0.5000 0.5000 0.5000 Pt
```

* theoretical density: 8.2 g/cm3
* space-group type: P4/mmm, No. 123
* distance to the lowest polymorph of the same formula: 0 meV/atom
* formation energy from raw total energies: 0.82 eV per atom